# RbNpFeN3, relaxed, DFT PBE
# Total DFT energy (no corrections) in eV per atom: -8.43
# Formation energy from raw total energies in meV per atom: -541
# Spin magnetization in μB/atom: 0.234
data_RbNpFeN3
_chemical_formula_sum 'Rb2 Np2 Fe2 N6'
_cell_length_a 8.057
_cell_length_b 3.441
_cell_length_c 8.198
_cell_angle_alpha 90.00
_cell_angle_beta 108.56
_cell_angle_gamma 90.00
_symmetry_space_group_name_H-M 'P 1 21/m 1'
_symmetry_Int_Tables_number 11
_symmetry_space_group_name_Hall '-P 2yb'
loop_
_atom_site_label
_atom_site_fract_x
_atom_site_fract_y
_atom_site_fract_z
Rb1 0.208 0.250 0.234
Np1 0.336 0.750 0.844
Fe1 0.067 0.250 0.601
N1 0.150 0.750 0.561
N2 0.167 0.250 0.841
N3 0.487 0.750 0.130



# PrTmRh4, relaxed, DFT PBE
# Total DFT energy (no corrections) in eV per atom: -7.13
# Formation energy from the elements in eV/atom: -0.684
# Spin magnetization in μB/atom: 0.000
data_PrTmRh4
_chemical_formula_sum 'Pr4 Tm4 Rh16'
_cell_length_a 7.599
_cell_length_b 7.599
_cell_length_c 7.599
_cell_angle_alpha 90.00
_cell_angle_beta 90.00
_cell_angle_gamma 90.00
_symmetry_space_group_name_H-M 'F -4 3 m'
_symmetry_Int_Tables_number 216
_symmetry_space_group_name_Hall 'F -4 2 3'
loop_
_atom_site_label
_atom_site_fract_x
_atom_site_fract_y
_atom_site_fract_z
Pr1 0.000 0.000 0.000
Tm1 0.250 0.250 0.250
Rh1 0.125 0.125 0.625



Copy entry 1 word for word.
# RbNpFeN3, relaxed, DFT PBE
# Total DFT energy (no corrections) in eV per atom: -8.43
# Formation energy from raw total energies in meV per atom: -541
# Spin magnetization in μB/atom: 0.234
data_RbNpFeN3
_chemical_formula_sum 'Rb2 Np2 Fe2 N6'
_cell_length_a 8.057
_cell_length_b 3.441
_cell_length_c 8.198
_cell_angle_alpha 90.00
_cell_angle_beta 108.56
_cell_angle_gamma 90.00
_symmetry_space_group_name_H-M 'P 1 21/m 1'
_symmetry_Int_Tables_number 11
_symmetry_space_group_name_Hall '-P 2yb'
loop_
_atom_site_label
_atom_site_fract_x
_atom_site_fract_y
_atom_site_fract_z
Rb1 0.208 0.250 0.234
Np1 0.336 0.750 0.844
Fe1 0.067 0.250 0.601
N1 0.150 0.750 0.561
N2 0.167 0.250 0.841
N3 0.487 0.750 0.130



Which formula does entry 2 have? PrTmRh4